Record 1
8
Lattice="7.245 0.000 0.000 0.000 4.218 0.000 -2.448 0.000 6.945" Properties=species:S:1:pos:R:3 comment="LiLaNd2Se4 | Alexandria | PBE | relaxed" e_form_raw_ev_per_atom=-1.7983 dos_at_fermi_per_ev_atom=0.3449 vol_a3_per_atom=26.529 rho_g_cm3=5.87 pbc="T T T"
Li 0.000 0.000 0.000
La 3.623 2.109 0.000
Nd -1.224 2.109 3.473
Nd 2.398 0.000 3.473
Se -0.094 0.000 5.228
Se 1.149 2.109 1.694
Se 4.891 0.000 1.717
Se 3.648 2.109 5.251

=====

Record 2
15
Lattice="5.763 0.000 0.000 -2.882 4.991 0.000 0.000 0.000 9.360" Properties=species:S:1:pos:R:3 comment="Y3Be2GePt9 | Alexandria | PBE | relaxed" dos_at_fermi_per_ev_atom=0.2290 vol_a3_per_atom=17.949 rho_g_cm3=13.03 e_form_ev_per_fu=-12.3 pbc="T T T"
Y 0.000 0.000 0.000
Y 0.000 3.327 5.696
Y 2.882 1.664 3.664
Be 0.000 3.327 1.410
Be 2.882 1.664 7.949
Ge 0.000 0.000 4.680
Pt -1.441 2.496 0.000
Pt 0.000 1.645 2.806
Pt -1.457 4.169 2.806
Pt 1.424 0.822 6.553
Pt 2.882 0.000 0.000
Pt 1.441 2.496 0.000
Pt 1.457 4.169 2.806
Pt 4.339 0.822 6.553
Pt 2.882 3.347 6.553

=====

Record 3
9
Lattice="-2.502 7.711 3.260 2.502 -7.711 3.260 2.502 7.711 -3.260" Properties=species:S:1:pos:R:3 comment="LiInPb | Alexandria | PBE | relaxed" dos_at_fermi_per_ev_atom=0.4215 vol_a3_per_atom=27.954 rho_g_cm3=6.51 e_form_ev_per_fu=-0.2 pbc="T T T"
Li 0.000 0.000 0.000
Li 2.502 2.797 0.154
Li 0.000 4.914 3.414
In 0.000 5.211 0.084
In 0.000 0.000 3.225
In 0.000 10.211 0.084
Pb 2.502 0.000 1.386
Pb 2.502 5.233 1.888
Pb 0.000 2.478 5.148

=====

Record 4
10
Lattice="6.897 0.000 0.000 0.000 6.897 0.000 0.000 0.000 3.261" Properties=species:S:1:pos:R:3 comment="VMo2As2 | Alexandria | PBE | relaxed" dos_at_fermi_per_ev_atom=0.9451 vol_a3_per_atom=15.511 rho_g_cm3=8.41 e_form_ev_per_fu=0.2 pbc="T T T"
V 0.000 0.000 0.000
V 3.448 3.448 0.000
Mo 0.997 2.451 1.630
Mo 2.451 5.900 1.630
Mo 4.445 0.997 1.630
Mo 5.900 4.445 1.630
As 1.067 4.515 0.000
As 2.382 1.067 0.000
As 4.515 5.830 0.000
As 5.830 2.382 0.000

=====

Record 5
11
Lattice="3.149 -5.285 0.000 3.149 5.285 0.000 -0.779 0.000 6.784" Properties=species:S:1:pos:R:3 comment="UTa2Ag2S6 | Alexandria | PBE | relaxed" e_form_raw_ev_per_atom=-0.7882 dos_at_fermi_per_ev_atom=0.5941 vol_a3_per_atom=20.525 rho_g_cm3=7.41 pbc="T T T"
U 0.000 0.000 0.000
Ta 3.149 1.472 0.000
Ta 3.149 -1.472 0.000
Ag 2.759 1.604 3.392
Ag 2.759 -1.604 3.392
S 1.104 1.873 1.450
S 1.326 0.000 5.127
S 1.104 -1.873 1.450
S 4.415 1.873 5.334
S 4.193 0.000 1.657
S 4.415 -1.873 5.334

=====

Record 6
5
Lattice="4.763 0.000 0.000 0.000 4.763 0.000 0.000 0.000 4.904" Properties=species:S:1:pos:R:3 comment="NaP2S2 | Alexandria | PBE | relaxed" e_form_raw_ev_per_atom=1.5342 dos_at_fermi_per_ev_atom=1.3658 vol_a3_per_atom=22.244 rho_g_cm3=2.23 pbc="T T T"
Na 0.000 0.000 0.000
P 0.000 0.000 2.452
P 2.381 2.381 2.452
S 0.000 2.381 0.000
S 2.381 0.000 0.000

=====

Record 7
18
Lattice="-5.068 5.088 5.214 5.068 -5.088 5.214 5.068 5.088 -5.214" Properties=species:S:1:pos:R:3 comment="Sm6TlAg2 | Alexandria | PBE | relaxed" dos_at_fermi_per_ev_atom=1.1742 vol_a3_per_atom=29.880 rho_g_cm3=8.16 e_form_ev_per_fu=-1.5 pbc="T T T"
Sm 5.068 -2.857 3.368
Sm 3.011 0.000 2.553
Sm 7.125 0.000 2.553
Sm 3.230 2.758 0.000
Sm 6.906 2.758 0.000
Sm 0.000 2.231 1.846
Sm 5.068 2.857 3.368
Sm -1.838 2.330 5.214
Sm 1.838 2.330 5.214
Sm -2.057 5.088 2.661
Sm 2.057 5.088 2.661
Sm 0.000 7.945 1.846
Tl 5.068 0.000 0.000
Tl 0.000 5.088 0.000
Ag 1.438 0.000 0.000
Ag 8.698 0.000 0.000
Ag 0.000 0.000 3.840
Ag 0.000 0.000 6.589

=====

Record 8
5
Lattice="4.361 0.000 0.000 0.000 4.361 0.000 0.000 0.000 5.454" Properties=species:S:1:pos:R:3 comment="RbFeP2S | Alexandria | PBE | relaxed" e_form_raw_ev_per_atom=0.1335 dos_at_fermi_per_ev_atom=0.9661 vol_a3_per_atom=20.748 rho_g_cm3=3.77 pbc="T T T"
Rb 0.000 0.000 0.000
Fe 2.181 2.181 2.727
P 0.000 2.181 2.727
P 2.181 0.000 2.727
S 2.181 2.181 0.000

=====

Record 9
10
Lattice="4.283 -5.495 0.000 4.283 5.495 0.000 -2.190 0.000 8.099" Properties=species:S:1:pos:R:3 comment="PmH2I2 | Alexandria | PBE | relaxed" dos_at_fermi_per_ev_atom=0.0000 vol_a3_per_atom=38.122 total_energy_ev_per_atom=-3.63 rho_g_cm3=3.49 pbc="T T T"
Pm 4.283 3.560 0.000
Pm 4.283 -3.560 0.000
H -1.366 0.000 7.529
H 0.809 0.000 0.590
H 5.567 0.000 7.508
H 7.742 0.000 0.570
I 2.112 2.808 2.116
I 4.264 2.808 5.983
I 2.112 -2.808 2.116
I 4.264 -2.808 5.983

=====

Record 10
5
Lattice="4.288 0.000 0.000 0.000 4.288 0.000 0.000 0.000 4.288" Properties=species:S:1:pos:R:3 comment="Ag3CN | Alexandria | PBE | relaxed" e_form_raw_ev_per_atom=1.6887 dos_at_fermi_per_ev_atom=0.6384 vol_a3_per_atom=15.766 rho_g_cm3=7.36 pbc="T T T"
Ag 0.000 0.000 2.144
Ag 0.000 2.144 0.000
Ag 2.144 0.000 0.000
C 0.000 0.000 0.000
N 2.144 2.144 2.144

=====

Record 11
4
Lattice="2.722 0.000 0.000 0.000 4.902 0.000 -0.171 0.000 5.080" Properties=species:S:1:pos:R:3 comment="Ag2RuAu | Alexandria | PBE | relaxed" dos_at_fermi_per_ev_atom=0.8857 vol_a3_per_atom=16.944 rho_g_cm3=12.59 e_form_ev_per_fu=1.5 pbc="T T T"
Ag 0.597 0.000 1.244
Ag 1.953 0.000 3.835
Ru 1.361 2.451 0.000
Au -0.086 2.451 2.540

=====

Record 12
12
Lattice="3.931 -6.807 0.000 3.931 6.807 0.000 -2.630 0.000 8.442" Properties=species:S:1:pos:R:3 comment="Rb3U2ZnTe6 | Alexandria | PBE | relaxed" e_form_raw_ev_per_atom=-0.7413 dos_at_fermi_per_ev_atom=1.5962 vol_a3_per_atom=37.646 rho_g_cm3=5.75 pbc="T T T"
Rb 0.000 0.000 0.000
Rb 3.931 2.285 0.000
Rb 3.931 -2.285 0.000
U 2.616 4.541 4.221
U 2.616 -4.541 4.221
Zn 2.616 0.000 4.221
Te 1.339 2.214 2.606
Te 0.049 0.000 5.849
Te 1.339 -2.214 2.606
Te 3.893 2.214 5.836
Te 5.184 0.000 2.593
Te 3.893 -2.214 5.836